# 1
## Tb12Sm2Dy5 (PBE)

Data for a relaxed Tb12Sm2Dy5 crystal.

Formation enthalpy at 0 K ... 0.130 eV/atom

```
Tb12Sm2Dy5
1.0
-5.935 0.008 7.070
-1.305 -10.072 -7.110
6.245 2.630 5.240
Tb Sm Dy
12 2 5
Direct
0.974 0.308 0.067 Tb
0.559 0.118 0.784 Tb
0.089 0.179 0.297 Tb
0.181 0.746 0.406 Tb
0.026 0.692 0.933 Tb
0.911 0.821 0.703 Tb
0.565 0.746 0.406 Tb
0.665 0.692 0.933 Tb
0.335 0.308 0.067 Tb
0.819 0.254 0.594 Tb
0.435 0.254 0.594 Tb
0.441 0.882 0.216 Tb
0.679 0.000 0.000 Sm
0.321 0.000 0.000 Sm
0.769 0.538 0.111 Dy
0.301 0.601 0.615 Dy
0.231 0.462 0.889 Dy
0.000 0.000 0.500 Dy
0.699 0.399 0.385 Dy
```

# 2
## ZrSc2Tl2 (PBE)

Data for a relaxed ZrSc2Tl2 crystal.

Relative energy among the computed polymorphs ... 0.0 kJ/mol of atoms
Formation enthalpy at 0 K ... -0.118 eV/atom

```
ZrSc2Tl2
1.0
8.224 0.000 0.000
0.000 8.224 0.000
0.000 0.000 3.528
Zr Tl Sc
2 4 4
Direct
0.000 0.000 0.000 Zr
0.500 0.500 0.000 Zr
0.640 0.140 0.000 Tl
0.360 0.860 0.000 Tl
0.140 0.360 0.000 Tl
0.860 0.640 0.000 Tl
0.837 0.337 0.500 Sc
0.337 0.163 0.500 Sc
0.663 0.837 0.500 Sc
0.163 0.663 0.500 Sc
```

no.,electronic total energy (eV per atom)
1,-4.5022
2,-5.3071